[1]
Here is Cu3BiTe2ClO8 at its PBEsol-relaxed geometry from Alexandria via LeMat-Bulk. Energies are from meta-GGA SCAN.

abc: 6.212 9.871 14.025
angles: 90.00 90.00 90.00
Last column: magnetic moment on the atom in μB.
Sites, in units of the cell vectors:
Cu 0.822 0.250 0.640  0.68
Cu 0.973 0.980 0.763  0.68
Cu 0.678 0.250 0.140  0.68
Cu 0.027 0.020 0.237  0.68
Cu 0.527 0.520 0.263  0.68
Cu 0.322 0.750 0.860  0.68
Cu 0.973 0.520 0.763  0.68
Cu 0.178 0.750 0.360  0.68
Cu 0.527 0.980 0.263  0.68
Cu 0.473 0.020 0.737  0.68
Cu 0.027 0.480 0.237  0.68
Cu 0.473 0.480 0.737  0.68
Bi 0.228 0.750 0.632  0.00
Bi 0.728 0.250 0.868  0.00
Bi 0.772 0.250 0.368  0.00
Bi 0.272 0.750 0.132  0.00
Te 0.256 0.435 0.966  0.03
Te 0.744 0.935 0.034  0.03
Te 0.756 0.935 0.534  0.03
Te 0.756 0.565 0.534  0.03
Te 0.244 0.435 0.466  0.03
Te 0.244 0.065 0.466  0.03
Te 0.744 0.565 0.034  0.03
Te 0.256 0.065 0.966  0.03
Cl 0.229 0.250 0.673  0.01
Cl 0.729 0.750 0.827  0.01
Cl 0.271 0.250 0.173  0.01
Cl 0.771 0.750 0.327  0.01
O 0.007 0.544 0.105  0.06
O 0.993 0.456 0.895  0.06
O 0.248 0.886 0.763  0.22
O 0.435 0.392 0.858  0.06
O 0.252 0.614 0.263  0.22
O 0.935 0.892 0.642  0.06
O 0.847 0.119 0.533  0.05
O 0.565 0.892 0.142  0.06
O 0.993 0.044 0.895  0.06
O 0.493 0.544 0.605  0.06
O 0.007 0.956 0.105  0.06
O 0.752 0.386 0.237  0.22
O 0.653 0.119 0.033  0.05
O 0.748 0.386 0.737  0.22
O 0.752 0.114 0.237  0.22
O 0.653 0.381 0.033  0.05
O 0.153 0.881 0.467  0.05
O 0.748 0.114 0.737  0.22
O 0.847 0.381 0.533  0.05
O 0.507 0.456 0.395  0.06
O 0.507 0.044 0.395  0.06
O 0.153 0.619 0.467  0.05
O 0.935 0.608 0.642  0.06
O 0.347 0.881 0.967  0.05
O 0.065 0.392 0.358  0.06
O 0.347 0.619 0.967  0.05
O 0.565 0.608 0.142  0.06
O 0.248 0.614 0.763  0.22
O 0.252 0.886 0.263  0.22
O 0.493 0.956 0.605  0.06
O 0.435 0.108 0.858  0.06
O 0.065 0.108 0.358  0.06

## Properties
Raw formation energy, eV per atom: -0.998
Symmetry: Pnma
V, A^3/atom: 14.33

---

[2]
Here is CaHfSe2 at its PBEsol-relaxed geometry from Alexandria via LeMat-Bulk. Energies are from meta-GGA SCAN.

abc: 3.946 3.946 8.687
angles: 76.87 76.87 60.00
Sites, in units of the cell vectors:
Ca 0.500 0.500 0.500
Hf 0.000 0.000 0.000
Se 0.901 0.901 0.296
Se 0.099 0.099 0.704

## Properties
Relative energy among the computed polymorphs, kJ/mol of atoms: 10.7
Raw formation energy, eV per atom: -1.000
Symmetry: R-3m
V, A^3/atom: 28.26
Fermi-level density of states, states/eV per cell: 0.93

---

[3]
Here is CaY3Re at its PBEsol-relaxed geometry from Alexandria via LeMat-Bulk. Energies are from meta-GGA SCAN.

abc: 5.104 5.104 5.104
angles: 90.00 90.00 90.00
Last column: magnetic moment on the atom in μB.
Sites, in units of the cell vectors:
Y 0.000 0.500 0.000  0.02
Y 0.000 0.000 0.500  0.02
Y 0.500 0.000 0.000  0.02
Re 0.500 0.500 0.500  -2.09
Ca 0.000 0.000 0.000  -0.14

## Properties
Formation enthalpy at 0 K, meV per atom: 1929.0
Symmetry: Pm-3m
V, A^3/atom: 26.59
Fermi-level density of states, states/eV per cell: 5.85

---

[4]
Here is In3FeAg at its PBEsol-relaxed geometry from Alexandria via LeMat-Bulk. Energies are from meta-GGA SCAN.

abc: 4.868 4.868 4.868
angles: 90.00 90.00 90.00
Last column: magnetic moment on the atom in μB.
Sites, in units of the cell vectors:
Fe 0.000 0.000 0.000  2.02
Ag 0.500 0.500 0.500  0.06
In 0.000 0.500 0.000  -0.09
In 0.000 0.000 0.500  -0.09
In 0.500 0.000 0.000  -0.09

## Properties
Formation enthalpy at 0 K, meV per atom: 351.4
Symmetry: Pm-3m
V, A^3/atom: 23.07
Fermi-level density of states, states/eV per cell: 2.01

---

[5]
Here is RbLi3Al at its PBEsol-relaxed geometry from Alexandria via LeMat-Bulk. Energies are from meta-GGA SCAN.

abc: 5.355 5.355 5.355
angles: 90.00 90.00 90.00
Last column: magnetic moment on the atom in μB.
Sites, in units of the cell vectors:
Al 0.000 0.000 0.000  -0.12
Rb 0.500 0.500 0.500  0.01
Li 0.000 0.500 0.000  -0.02
Li 0.000 0.000 0.500  -0.02
Li 0.500 0.000 0.000  -0.02

## Properties
Formation enthalpy at 0 K, meV per atom: 141.0
Symmetry: Pm-3m
V, A^3/atom: 30.71
Fermi-level density of states, states/eV per cell: 2.23

---

[6]
Here is YSn3S at its PBEsol-relaxed geometry from Alexandria via LeMat-Bulk. Energies are from meta-GGA SCAN.

abc: 5.160 5.160 5.160
angles: 90.00 90.00 90.00
Sites, in units of the cell vectors:
Y 0.500 0.500 0.500
S 0.000 0.000 0.000
Sn 0.000 0.500 0.000
Sn 0.000 0.000 0.500
Sn 0.500 0.000 0.000

## Properties
Raw formation energy, eV per atom: 0.088
Symmetry: Pm-3m
V, A^3/atom: 27.47
Fermi-level density of states, states/eV per cell: 4.13